# 1
{"formula": "LaPdS3", "functional": "GGA-PBE", "state": "relaxed", "cell": [[5.5219, 0.0000, 0.0000], [0.0000, 5.5219, 0.0000], [0.0000, 0.0000, 5.5219]], "species": ["S", "S", "S", "Pd", "La"], "fractional_positions": [[0.0000, 0.5000, 0.0000], [0.0000, 0.0000, 0.5000], [0.5000, 0.0000, 0.0000], [0.5000, 0.5000, 0.5000], [0.0000, 0.0000, 0.0000]], "relative_energy_mev_per_atom": 1096, "raw_formation_energy_ev_per_atom": 0.16, "space_group": "No. 221", "dft_energy_ev_per_atom": -4.344}



# 2
{"formula": "LiAsOs2", "functional": "GGA-PBE", "state": "relaxed", "cell": [[-2.4093, -0.5473, 3.1936], [2.1530, -1.1641, 1.4248], [2.3664, 3.9615, 2.4642]], "species": ["As", "Li", "Os", "Os"], "fractional_positions": [[0.0000, 0.2918, 0.5386], [0.5000, 0.7073, 0.7116], [0.0000, 0.0500, 0.0258], [0.5000, 0.4510, 0.2241]], "space_group": "No. 6", "dft_energy_ev_per_atom": -7.112, "formation_energy_ev_per_atom": 0.143}



# 3
{"formula": "Rb2HfTe2", "functional": "GGA-PBE", "state": "relaxed", "cell": [[-1.8362, 1.6119, -3.4050], [-3.4512, -2.2386, 0.8013], [-5.8008, 6.2809, 3.5225]], "species": ["Te", "Te", "Hf", "Rb", "Rb"], "fractional_positions": [[0.4082, 0.4082, 0.1835], [0.5918, 0.5918, 0.8165], [0.0000, 0.0000, 0.0000], [0.7500, 0.2500, 0.5000], [0.2500, 0.7500, 0.5000]], "relative_energy_mev_per_atom": 607, "raw_formation_energy_ev_per_atom": 0.16, "space_group": "No. 139", "dft_energy_ev_per_atom": -3.473}



# 4
{"formula": "CaFe2Tc", "functional": "GGA-PBE", "state": "relaxed", "cell": [[5.3747, 0.2932, 0.0378], [2.1461, 4.9363, -0.0378], [-3.0766, -3.5981, 2.5618]], "species": ["Ca", "Tc", "Fe", "Fe"], "fractional_positions": [[0.2500, 0.7500, 0.5000], [0.7500, 0.2500, 0.5000], [0.9717, 0.9717, 0.0000], [0.5283, 0.5283, 0.0000]], "relative_energy_mev_per_atom": 315, "space_group": "No. 71", "dft_energy_ev_per_atom": -6.645, "formation_energy_ev_per_atom": 0.678}



# 5
{"formula": "Pr12Sm3Tl5", "functional": "GGA-PBE", "state": "relaxed", "cell": [[-1.9358, -16.2174, -0.1443], [3.3036, 5.2235, -15.1187], [12.3564, 3.9199, 9.9361]], "species": ["Sm", "Sm", "Sm", "Sm", "Sm", "Sm", "Sm", "Sm", "Sm", "Sm", "Sm", "Sm", "Tl", "Tl", "Tl", "Tl", "Tl", "Tl", "Tl", "Tl", "Tl", "Tl", "Tl", "Tl", "Tl", "Tl", "Tl", "Tl", "Tl", "Tl", "Tl", "Tl", "Pr", "Pr", "Pr", "Pr", "Pr", "Pr", "Pr", "Pr", "Pr", "Pr", "Pr", "Pr", "Pr", "Pr", "Pr", "Pr", "Pr", "Pr", "Pr", "Pr", "Pr", "Pr", "Pr", "Pr", "Pr", "Pr", "Pr", "Pr", "Pr", "Pr", "Pr", "Pr", "Pr", "Pr", "Pr", "Pr", "Pr", "Pr", "Pr", "Pr", "Pr", "Pr", "Pr", "Pr", "Pr", "Pr", "Pr", "Pr"], "fractional_positions": [[0.7500, 0.3750, 0.1250], [0.8750, 0.7500, 0.1250], [0.3750, 0.7500, 0.6250], [0.2500, 0.1250, 0.3750], [0.8750, 0.1250, 0.2500], [0.3750, 0.6250, 0.2500], [0.6250, 0.3750, 0.7500], [0.1250, 0.8750, 0.7500], [0.7500, 0.8750, 0.6250], [0.6250, 0.2500, 0.3750], [0.1250, 0.2500, 0.8750], [0.2500, 0.6250, 0.8750], [0.1250, 0.3750, 0.2500], [0.0000, 0.5000, 0.0000], [0.0000, 0.0000, 0.0000], [0.3750, 0.2500, 0.1250], [0.5000, 0.0000, 0.5000], [0.5000, 0.5000, 0.0000], [0.1250, 0.7500, 0.3750], [0.7500, 0.1250, 0.8750], [0.7500, 0.6250, 0.3750], [0.3750, 0.1250, 0.7500], [0.6250, 0.8750, 0.2500], [0.5000, 0.5000, 0.5000], [0.5000, 0.0000, 0.0000], [0.0000, 0.0000, 0.5000], [0.2500, 0.3750, 0.6250], [0.2500, 0.8750, 0.1250], [0.0000, 0.5000, 0.5000], [0.8750, 0.2500, 0.6250], [0.6250, 0.7500, 0.8750], [0.8750, 0.6250, 0.7500], [0.7219, 0.1240, 0.0537], [0.3318, 0.5537, 0.4297], [0.9463, 0.3760, 0.2781], [0.5537, 0.2219, 0.1240], [0.5980, 0.7219, 0.6682], [0.9463, 0.5703, 0.1682], [0.3318, 0.7781, 0.4020], [0.0703, 0.9020, 0.1240], [0.5703, 0.9463, 0.6682], [0.7219, 0.5980, 0.1682], [0.7781, 0.4463, 0.3760], [0.8318, 0.9297, 0.0537], [0.1240, 0.7219, 0.5537], [0.3760, 0.4297, 0.0980], [0.0980, 0.9297, 0.3760], [0.4020, 0.1240, 0.5703], [0.0980, 0.1682, 0.2219], [0.4463, 0.6682, 0.0703], [0.8318, 0.9020, 0.2781], [0.1240, 0.4020, 0.0703], [0.3760, 0.9463, 0.7781], [0.5703, 0.6240, 0.4020], [0.9297, 0.8318, 0.5537], [0.7781, 0.3318, 0.9020], [0.4297, 0.3760, 0.5980], [0.0703, 0.1682, 0.4463], [0.2219, 0.6682, 0.0980], [0.1682, 0.0980, 0.7219], [0.6240, 0.0537, 0.2219], [0.8760, 0.5980, 0.9297], [0.5537, 0.3318, 0.9297], [0.5980, 0.8760, 0.4297], [0.9020, 0.8318, 0.7781], [0.9020, 0.0703, 0.6240], [0.8760, 0.2781, 0.4463], [0.1682, 0.0703, 0.9463], [0.6240, 0.5703, 0.9020], [0.4297, 0.0537, 0.3318], [0.2781, 0.4020, 0.8318], [0.2219, 0.5537, 0.6240], [0.9297, 0.0980, 0.8760], [0.6682, 0.2219, 0.5980], [0.4463, 0.7781, 0.8760], [0.0537, 0.4297, 0.8318], [0.4020, 0.2781, 0.3318], [0.0537, 0.6240, 0.7219], [0.6682, 0.4463, 0.5703], [0.2781, 0.8760, 0.9463]], "space_group": "No. 230", "dft_energy_ev_per_atom": -3.725, "formation_energy_ev_per_atom": 0.443}



# 6
{"formula": "HfBeSe2N", "functional": "GGA-PBE", "state": "relaxed", "cell": [[5.2498, 0.0000, 0.0000], [0.0000, 5.2498, 0.0000], [0.0000, 0.0000, 4.0224]], "species": ["Be", "Hf", "Se", "Se", "N"], "fractional_positions": [[0.5000, 0.5000, 0.5000], [0.0000, 0.0000, 0.0000], [0.0000, 0.5000, 0.0000], [0.5000, 0.0000, 0.0000], [0.0000, 0.0000, 0.5000]], "relative_energy_mev_per_atom": 317, "raw_formation_energy_ev_per_atom": 0.32, "space_group": "No. 123", "dft_energy_ev_per_atom": -5.475}



# 7
{"formula": "Co2TeSe", "functional": "GGA-PBE", "state": "relaxed", "cell": [[3.3222, -0.0077, 0.0000], [0.0082, 3.3222, 0.0000], [0.0000, 0.0000, 6.6787]], "species": ["Co", "Co", "Se", "Te"], "fractional_positions": [[0.0000, 0.0000, 0.0257], [0.5000, 0.5000, 0.2434], [0.0000, 0.0000, 0.3643], [0.5000, 0.5000, 0.8665]], "relative_energy_mev_per_atom": 0, "raw_formation_energy_ev_per_atom": -0.05, "space_group": "No. 99", "dft_energy_ev_per_atom": -5.260}



# 8
{"formula": "BePtS2O", "functional": "GGA-PBE", "state": "relaxed", "cell": [[4.3370, 0.0000, 0.0000], [0.0000, 4.0432, 0.0000], [0.0000, 0.0000, 4.3370]], "species": ["Be", "S", "S", "O", "Pt"], "fractional_positions": [[0.5000, 0.5000, 0.5000], [0.0000, 0.0000, 0.5000], [0.5000, 0.0000, 0.0000], [0.0000, 0.0000, 0.0000], [0.0000, 0.5000, 0.0000]], "raw_formation_energy_ev_per_atom": 0.98, "space_group": "No. 123", "dft_energy_ev_per_atom": -3.611}



# 9
{"formula": "BeZnTeN2", "functional": "GGA-PBE", "state": "relaxed", "cell": [[3.8108, 0.0000, 0.0000], [0.0000, 3.8108, 0.0000], [0.0000, 0.0000, 6.4652]], "species": ["Be", "Zn", "Te", "N", "N"], "fractional_positions": [[0.5000, 0.5000, 0.5000], [0.0000, 0.0000, 0.0000], [0.0000, 0.0000, 0.5000], [0.0000, 0.5000, 0.0000], [0.5000, 0.0000, 0.0000]], "relative_energy_mev_per_atom": 399, "raw_formation_energy_ev_per_atom": 1.58, "space_group": "No. 123", "dft_energy_ev_per_atom": -3.380}



# 10
{"formula": "BeSbOs2", "functional": "GGA-PBE", "state": "relaxed", "cell": [[-1.5870, 3.6264, -1.6202], [-2.3794, -1.5122, -1.0541], [-2.2916, 0.8119, 4.0618]], "species": ["Sb", "Os", "Os", "Be"], "fractional_positions": [[0.0000, 0.3739, 0.5291], [0.0000, 0.8761, 0.9927], [0.5000, 0.3767, 0.1894], [0.5000, 0.8733, 0.7888]], "relative_energy_mev_per_atom": 60, "raw_formation_energy_ev_per_atom": 0.37, "space_group": "No. 6", "dft_energy_ev_per_atom": -7.204}



# 11
{"formula": "Ca2Mn2Cu15", "functional": "GGA-PBE", "state": "relaxed", "cell": [[6.4692, -0.0089, 0.8364], [0.7341, 6.4274, 0.8364], [-0.0100, -0.0089, 6.5230]], "species": ["Ca", "Ca", "Mn", "Mn", "Cu", "Cu", "Cu", "Cu", "Cu", "Cu", "Cu", "Cu", "Cu", "Cu", "Cu", "Cu", "Cu", "Cu", "Cu"], "fractional_positions": [[0.3453, 0.3453, 0.3453], [0.6547, 0.6547, 0.6547], [0.0986, 0.0986, 0.0986], [0.9014, 0.9014, 0.9014], [0.5000, 0.0000, 0.0000], [0.0000, 0.0000, 0.5000], [0.0000, 0.5000, 0.0000], [0.0000, 0.7064, 0.2936], [0.7064, 0.2936, 0.0000], [0.2936, 0.0000, 0.7064], [0.2936, 0.7064, 0.0000], [0.7064, 0.0000, 0.2936], [0.0000, 0.2936, 0.7064], [0.1519, 0.6547, 0.6547], [0.6547, 0.6547, 0.1519], [0.6547, 0.1519, 0.6547], [0.8481, 0.3453, 0.3453], [0.3453, 0.3453, 0.8481], [0.3453, 0.8481, 0.3453]], "space_group": "No. 166", "dft_energy_ev_per_atom": -4.428, "formation_energy_ev_per_atom": -0.018}